First-principles (PBE with a Hubbard U) data for a geometry-optimized Rb2VTeF6 structure, as listed in Alexandria via LeMat-Bulk.

Unit cell a=6.6118 b=6.6118 c=6.6118 alpha=112.80 beta=112.80 gamma=103.01
Closest atoms and distances in Å follow each position.
Sites, in units of the cell vectors:
1 Rb 0.2500 0.7500 0.5000  12 F 3.37-3.66
2 Rb 0.7500 0.2500 0.5000  12 F 3.37-3.66
3 V 0.0000 0.0000 0.0000  6 F 1.91-1.92
4 Te 0.5000 0.5000 0.0000  2 F 2.19
5 F 0.1850 0.1850 0.3699  1 V 1.91
6 F 0.1850 0.8150 0.0000  1 V 1.91
7 F 0.2334 0.2334 0.0000  1 V 1.92
8 F 0.7666 0.7666 0.0000  1 V 1.92
9 F 0.8150 0.1850 0.0000  1 V 1.91
10 F 0.8150 0.8150 0.6301  1 V 1.91

**E**: -4.670 eV/atom
**Space-group type**: I4/mmm, No. 139